Below is an optimized crystal structure of RbTlBr2, with properties calculated at the PBE level.

a b c (Å): 8.218 8.218 8.218
angles (deg): 90.00 90.00 90.00
Sites, in units of the cell vectors:
Rb 0.000 0.000 0.000
Rb 0.000 0.500 0.500
Rb 0.500 0.000 0.500
Rb 0.500 0.500 0.000
Tl 0.000 0.000 0.500
Tl 0.000 0.500 0.000
Tl 0.500 0.000 0.000
Tl 0.500 0.500 0.500
Br 0.250 0.250 0.250
Br 0.250 0.250 0.750
Br 0.250 0.750 0.250
Br 0.250 0.750 0.750
Br 0.750 0.250 0.250
Br 0.750 0.250 0.750
Br 0.750 0.750 0.250
Br 0.750 0.750 0.750

Values from the calculation:
**ΔE to the lowest computed polymorph**: 4.8 kJ per mole of atoms
**Energy**: -2.924 eV per atom
**Magnetization**: 0.00 μB/f.u.
**ΔE_f (raw)**: -1.25 eV per atom


Below is an optimized crystal structure of ScHgIr, with properties calculated at the PBE level.

a b c (Å): 3.266 3.266 6.472
angles (deg): 90.00 90.00 120.00
Sites, in units of the cell vectors:
Sc 0.000 0.000 0.000
Hg 0.667 0.333 0.374
Ir 0.333 0.667 0.725

Values from the calculation:
**ΔE to the lowest computed polymorph**: 27.4 kJ per mole of atoms
**Energy**: -5.336 eV per atom
**Magnetization**: 0.00 μB/f.u.
**ΔH_f (0 K)**: -0.172 eV/atom


Below is an optimized crystal structure of Y2AlGe2Rh5, with properties calculated at the PBE level.

a b c (Å): 9.789 9.789 3.534
angles (deg): 90.00 90.00 90.00
Sites, in units of the cell vectors:
Y 0.174 0.326 0.000
Y 0.326 0.826 0.000
Y 0.674 0.174 0.000
Y 0.826 0.674 0.000
Al 0.000 0.000 0.000
Al 0.500 0.500 0.000
Ge 0.125 0.625 0.000
Ge 0.375 0.125 0.000
Ge 0.625 0.875 0.000
Ge 0.875 0.375 0.000
Rh 0.000 0.500 0.500
Rh 0.066 0.795 0.500
Rh 0.205 0.066 0.500
Rh 0.295 0.566 0.500
Rh 0.434 0.295 0.500
Rh 0.500 0.000 0.500
Rh 0.566 0.705 0.500
Rh 0.705 0.434 0.500
Rh 0.795 0.934 0.500
Rh 0.934 0.205 0.500

Values from the calculation:
**Energy**: -7.107 eV per atom
**Magnetization**: 0.00 μB/f.u.
**ΔH_f (0 K)**: -0.840 eV/atom


Below is an optimized crystal structure of Y2CoHPb, with properties calculated at the PBE level.

a b c (Å): 5.027 5.027 3.785
angles (deg): 90.00 90.00 90.00
Sites, in units of the cell vectors:
Y 0.000 0.500 0.000
Y 0.500 0.000 0.000
Co 0.000 0.000 0.500
H 0.000 0.000 0.000
Pb 0.500 0.500 0.500

Values from the calculation:
**Energy**: -5.693 eV per atom
**Magnetization**: 0.49 μB/f.u.


Below is an optimized crystal structure of Tb5PrIn2, with properties calculated at the PBE level.

a b c (Å): 3.632 10.573 12.789
angles (deg): 90.00 90.00 90.00
Sites, in units of the cell vectors:
Tb 0.000 0.000 0.000
Tb 0.000 0.275 0.364
Tb 0.000 0.275 0.636
Tb 0.000 0.725 0.364
Tb 0.000 0.725 0.636
Tb 0.500 0.225 0.136
Tb 0.500 0.225 0.864
Tb 0.500 0.500 0.500
Tb 0.500 0.775 0.136
Tb 0.500 0.775 0.864
Pr 0.000 0.500 0.000
Pr 0.500 0.000 0.500
In 0.000 0.000 0.260
In 0.000 0.000 0.740
In 0.500 0.500 0.240
In 0.500 0.500 0.760

Values from the calculation:
**Energy**: -4.356 eV per atom
**Magnetization**: 0.00 μB/f.u.
**ΔH_f (0 K)**: -0.180 eV/atom


Below is an optimized crystal structure of AcTm3Se6, with properties calculated at the PBE level.

a b c (Å): 11.639 4.181 11.922
angles (deg): 90.00 109.21 90.00
Sites, in units of the cell vectors:
Ac 0.053 0.250 0.199
Ac 0.947 0.750 0.801
Tm 0.160 0.250 0.590
Tm 0.323 0.750 0.001
Tm 0.449 0.250 0.335
Tm 0.551 0.750 0.665
Tm 0.677 0.250 0.999
Tm 0.840 0.750 0.410
Se 0.083 0.750 0.413
Se 0.127 0.250 0.965
Se 0.203 0.750 0.749
Se 0.276 0.750 0.232
Se 0.389 0.250 0.553
Se 0.480 0.250 0.112
Se 0.520 0.750 0.888
Se 0.611 0.750 0.447
Se 0.724 0.250 0.768
Se 0.797 0.250 0.251
Se 0.873 0.750 0.035
Se 0.917 0.250 0.587

Values from the calculation:
**Energy**: -5.759 eV per atom
**Magnetization**: 0.00 μB/f.u.
**ΔE_f (raw)**: -1.92 eV per atom


Below is an optimized crystal structure of AcS4O12, with properties calculated at the PBE level.

a b c (Å): 6.211 6.211 6.211
angles (deg): 109.47 109.47 109.47
Sites, in units of the cell vectors:
Ac 0.000 0.000 0.000
S 0.000 0.000 0.500
S 0.000 0.500 0.000
S 0.500 0.000 0.000
S 0.500 0.500 0.500
O 0.085 0.794 0.292
O 0.206 0.292 0.498
O 0.206 0.708 0.915
O 0.292 0.085 0.794
O 0.292 0.498 0.206
O 0.498 0.206 0.292
O 0.502 0.794 0.708
O 0.708 0.502 0.794
O 0.708 0.915 0.206
O 0.794 0.292 0.085
O 0.794 0.708 0.502
O 0.915 0.206 0.708

Values from the calculation:
**Energy**: -5.101 eV per atom
**Magnetization**: 0.00 μB/f.u.
**ΔE_f (raw)**: -0.39 eV per atom


Below is an optimized crystal structure of HfCd, with properties calculated at the PBE level.

a b c (Å): 10.589 10.589 3.242
angles (deg): 90.00 90.00 90.00
Sites, in units of the cell vectors:
Hf 0.163 0.163 0.000
Hf 0.163 0.837 0.000
Hf 0.337 0.337 0.500
Hf 0.337 0.663 0.500
Hf 0.663 0.337 0.500
Hf 0.663 0.663 0.500
Hf 0.837 0.163 0.000
Hf 0.837 0.837 0.000
Cd 0.000 0.336 0.500
Cd 0.000 0.664 0.500
Cd 0.164 0.500 0.000
Cd 0.336 0.000 0.500
Cd 0.500 0.164 0.000
Cd 0.500 0.836 0.000
Cd 0.664 0.000 0.500
Cd 0.836 0.500 0.000

Values from the calculation:
**Energy**: -5.243 eV per atom
**Magnetization**: 0.00 μB/f.u.
**ΔH_f (0 K)**: 0.191 eV/atom